NdNpN2 | PBE | optimized geometry

Cell: 5.0455 5.0455 9.9247 Å, 90.00 90.00 90.00°
Space group I4_1/amd (No. 141, origin choice 2)
Inequivalent atoms, fractional coordinates:
Nd 0.0000 0.2500 0.3750 [4 per cell]
Np 0.0000 0.2500 0.8750 [4 per cell]
N 0.0000 0.2500 0.1074 [8 per cell]

Summary:
* ΔE_f (raw): -1.22 eV/atom

---

Pm5Tl3Si3 | PBE | optimized geometry

Cell: 9.3924 9.3924 4.4711 Å, 90.00 90.00 120.00°
Space group P-62m (No. 189)
Inequivalent atoms, fractional coordinates:
Pm 0.0000 0.2444 0.0000 [3 per cell]
Pm 0.3333 0.6667 0.0000 [2 per cell]
Tl 0.0000 0.4861 0.5000 [3 per cell]
Si 0.0000 0.6488 0.0000 [3 per cell]

Summary:
* ΔE_f (raw): -0.08 eV/atom

---

PaBr3O | PBE | optimized geometry

Cell: 9.9576 8.9519 8.0364 Å, 90.00 107.82 90.00°
Space group C2/m (No. 12)
Inequivalent atoms, fractional coordinates:
Pa 0.1565 0.0000 0.4516 [4 per cell]
Br 0.1038 0.3126 0.3425 [8 per cell]
Br 0.2364 0.0000 0.1611 [4 per cell]
O 0.0724 0.0000 0.6533 [4 per cell]

Summary:
* excess energy over the best structure of this formula in the dataset: 86 meV per atom
* ΔE_f (raw): -1.99 eV/atom

---

Ba5MgHg4 | PBE | optimized geometry

Cell: 4.2209 4.2209 21.3445 Å, 90.00 90.00 90.00°
Space group P4/mmm (No. 123)
Inequivalent atoms, fractional coordinates:
Ba 0.0000 0.0000 0.0000 [1 per cell]
Ba 0.0000 0.0000 0.1970 [2 per cell]
Ba 0.0000 0.0000 0.3921 [2 per cell]
Mg 0.5000 0.5000 0.5000 [1 per cell]
Hg 0.5000 0.5000 0.0984 [2 per cell]
Hg 0.5000 0.5000 0.2974 [2 per cell]

Summary:
* ΔE_f: -0.430 eV/atom

---

LiCaPr2Au4 | PBE | optimized geometry

Cell: 5.1344 5.1344 25.0609 Å, 90.00 90.00 120.00°
Space group R-3m (No. 166, hexagonal axes)
Inequivalent atoms, fractional coordinates:
Li 0.0000 0.0000 0.0000 [3 per cell]
Ca 0.0000 0.0000 0.5000 [3 per cell]
Pr 0.0000 0.0000 0.2543 [6 per cell]
Au 0.0000 0.0000 0.1255 [6 per cell]
Au 0.0000 0.0000 0.3765 [6 per cell]

Summary:
* ΔE_f: -0.722 eV/atom

---

LiRe2Mo | PBE | optimized geometry

Cell: 2.6246 4.3637 5.1640 Å, 90.00 98.32 90.00°
Space group P2/m (No. 10)
Inequivalent atoms, fractional coordinates:
Li 0.0000 0.0000 0.0000 [1 per cell]
Re 0.2698 0.5000 0.7610 [2 per cell]
Mo 0.5000 0.0000 0.5000 [1 per cell]

Summary:
* ΔE_f: 0.181 eV/atom
* excess energy over the best structure of this formula in the dataset: 0 meV per atom

---

TbPmCdAu | PBE | optimized geometry

Cell: 7.4392 7.4392 7.4392 Å, 90.00 90.00 90.00°
Space group F-43m (No. 216)
Inequivalent atoms, fractional coordinates:
Tb 0.0000 0.0000 0.0000 [4 per cell]
Pm 0.0000 0.0000 0.5000 [4 per cell]
Cd 0.2500 0.2500 0.7500 [4 per cell]
Au 0.2500 0.2500 0.2500 [4 per cell]

Summary:
* ΔE_f: -0.534 eV/atom
* excess energy over the best structure of this formula in the dataset: 33 meV per atom

---

Cd2ReAu | PBE | optimized geometry

Cell: 3.3188 4.5531 9.7016 Å, 90.00 90.00 90.00°
Space group Cmm2 (No. 35)
Inequivalent atoms, fractional coordinates:
Cd 0.0000 0.0000 0.0000 [2 per cell]
Cd 0.0000 0.5000 0.2720 [2 per cell]
Re 0.0000 0.0000 0.5140 [2 per cell]
Au 0.0000 0.5000 0.7494 [2 per cell]

Summary:
* ΔE_f: 0.420 eV/atom
* excess energy over the best structure of this formula in the dataset: 94 meV per atom

---

Cd3NiPd | PBE | optimized geometry

Cell: 5.1089 5.1089 5.1089 Å, 90.00 90.00 90.00°
Space group Pm-3m (No. 221)
Inequivalent atoms, fractional coordinates:
Cd 0.0000 0.0000 0.5000 [3 per cell]
Ni 0.5000 0.5000 0.5000 [1 per cell]
Pd 0.0000 0.0000 0.0000 [1 per cell]

Summary:
* ΔE_f: 0.608 eV/atom
* excess energy over the best structure of this formula in the dataset: 238 meV per atom

---

KRbTe3 | PBE | optimized geometry

Cell: 6.2172 6.2172 6.2172 Å, 90.00 90.00 90.00°
Space group Pm-3m (No. 221)
Inequivalent atoms, fractional coordinates:
K 0.0000 0.0000 0.0000 [1 per cell]
Rb 0.5000 0.5000 0.5000 [1 per cell]
Te 0.0000 0.0000 0.5000 [3 per cell]

Summary:
* excess energy over the best structure of this formula in the dataset: 730 meV per atom
* ΔE_f (raw): 0.08 eV/atom

---

Zn2IrCl | PBE | optimized geometry

Cell: 5.7229 7.2530 2.9895 Å, 90.00 90.00 90.00°
Space group Cmmm (No. 65)
Inequivalent atoms, fractional coordinates:
Zn 0.2500 0.2500 0.0000 [4 per cell]
Ir 0.0000 0.0000 0.5000 [2 per cell]
Cl 0.0000 0.5000 0.5000 [2 per cell]

Summary:
* excess energy over the best structure of this formula in the dataset: 314 meV per atom
* ΔE_f (raw): 0.05 eV/atom

---

AsPdSeBr2 | PBE | optimized geometry

Cell: 5.2778 5.2778 5.0478 Å, 90.00 90.00 90.00°
Space group P4/mmm (No. 123)
Inequivalent atoms, fractional coordinates:
As 0.0000 0.0000 0.0000 [1 per cell]
Pd 0.5000 0.5000 0.5000 [1 per cell]
Se 0.0000 0.0000 0.5000 [1 per cell]
Br 0.0000 0.5000 0.0000 [2 per cell]

Summary:
* excess energy over the best structure of this formula in the dataset: 64 meV per atom
* ΔE_f (raw): 0.48 eV/atom

---

The evaluated total energy for the records listed, in turn: -9.81, -4.36, -5.88, -1.67, -4.04, -9.23, -3.93, -3.97, -2.14, -2.21, -3.26, -2.85 eV per atom.